{"formula": "CaMgAg2Cl6", "functional": "PBE", "state": "optimized geometry", "lattice": [[6.8107, 0.0033, 0.0036], [3.4082, 5.8936, 0.0033], [3.4092, 1.9674, 6.0884]], "species": ["Cl", "Cl", "Cl", "Cl", "Cl", "Cl", "Ca", "Ag", "Ag", "Mg"], "frac_coords": [[0.1027, 0.4253, 0.7772], [0.4246, 0.6955, 0.7767], [0.6950, 0.1030, 0.7766], [0.2168, 0.9507, 0.2588], [0.5742, 0.2166, 0.2580], [0.9513, 0.5735, 0.2589], [0.8205, 0.8206, 0.5380], [0.0237, 0.0247, 0.9273], [0.5301, 0.5289, 0.4115], [0.3226, 0.3226, 0.0323]], "energy_ev_per_atom": -3.4629, "raw_formation_energy_ev_per_fu": -14.25}

{"formula": "CaMnAg2Cl8", "functional": "PBE", "state": "optimized geometry", "lattice": [[6.6048, -0.3599, -0.0038], [-0.3660, 6.3123, -0.0069], [0.0046, 0.0094, 7.6840]], "species": ["Cl", "Cl", "Cl", "Cl", "Cl", "Cl", "Cl", "Cl", "Ag", "Ag", "Ca", "Mn"], "frac_coords": [[0.1439, 0.8060, 0.7900], [0.6850, 0.7299, 0.0000], [0.6569, 0.7215, 0.5000], [0.3431, 0.2785, 0.5000], [0.3150, 0.2701, 0.0000], [0.8562, 0.1941, 0.7900], [0.1438, 0.8059, 0.2100], [0.8561, 0.1940, 0.2100], [0.5000, 0.5000, 0.2386], [0.5000, 0.5000, 0.7614], [0.0000, 0.0000, 0.5000], [0.0000, 0.0000, 0.0000]], "energy_ev_per_atom": -3.7111, "raw_formation_energy_ev_per_fu": -12.89}

{"formula": "CaMnAgCl6", "functional": "PBE", "state": "optimized geometry", "lattice": [[-1.6951, -6.2927, 1.0831], [3.5891, 1.5863, -5.3148], [9.8792, -1.5949, 6.1954]], "species": ["Cl", "Cl", "Cl", "Cl", "Cl", "Cl", "Cl", "Cl", "Cl", "Cl", "Cl", "Cl", "Ag", "Ag", "Mn", "Mn", "Ca", "Ca"], "frac_coords": [[0.0388, 0.3657, 0.6305], [0.9612, 0.6343, 0.3695], [0.0388, 0.6731, 0.8695], [0.9612, 0.3269, 0.1305], [0.6731, 0.6343, 0.1305], [0.6343, 0.9612, 0.8695], [0.6343, 0.6731, 0.6305], [0.3269, 0.3657, 0.8695], [0.6731, 0.0388, 0.3695], [0.3657, 0.0388, 0.1305], [0.3269, 0.9612, 0.6305], [0.3657, 0.3269, 0.3695], [0.0000, 0.0000, 0.5000], [0.0000, 0.0000, 0.0000], [0.6667, 0.3333, 0.2500], [0.3333, 0.6667, 0.7500], [0.6667, 0.3333, 0.7500], [0.3333, 0.6667, 0.2500]], "energy_ev_per_atom": -4.0843, "raw_formation_energy_ev_per_fu": -11.66}

{"formula": "CaMn2AgCl", "functional": "PBE", "state": "optimized geometry", "lattice": [[-1.9858, -3.5106, 4.1665], [-2.7606, -2.4646, -3.3924], [4.4177, -3.6330, -0.9555]], "species": ["Ca", "Mn", "Mn", "Ag", "Cl"], "frac_coords": [[0.0000, 0.0000, 0.0000], [0.5000, 0.0000, 0.0000], [0.0000, 0.0000, 0.5000], [0.5000, 0.5000, 0.5000], [0.0000, 0.5000, 0.0000]], "energy_ev_per_atom": -4.1440, "raw_formation_energy_ev_per_fu": 4.32}

{"formula": "CaAgMoCl6", "functional": "PBE", "state": "optimized geometry", "lattice": [[-1.9888, 6.1506, -1.6833], [-3.1558, -3.3164, 4.8643], [7.5590, 4.6548, 8.0776]], "species": ["Ag", "Ag", "Cl", "Cl", "Cl", "Cl", "Cl", "Cl", "Cl", "Cl", "Cl", "Cl", "Cl", "Cl", "Mo", "Mo", "Ca", "Ca"], "frac_coords": [[0.0000, 0.0000, 0.0000], [0.0000, 0.0000, 0.5000], [0.0314, 0.6649, 0.8698], [0.6649, 0.6335, 0.1301], [0.3665, 0.3351, 0.3698], [0.3665, 0.0314, 0.1301], [0.6335, 0.6649, 0.6302], [0.3351, 0.9686, 0.6302], [0.0314, 0.3665, 0.6302], [0.9686, 0.3351, 0.1301], [0.6335, 0.9686, 0.8698], [0.3351, 0.3665, 0.8698], [0.6649, 0.0314, 0.3698], [0.9686, 0.6335, 0.3698], [0.3333, 0.6667, 0.7500], [0.6667, 0.3333, 0.2500], [0.3333, 0.6667, 0.2500], [0.6667, 0.3333, 0.7500]], "energy_ev_per_atom": -4.2233, "raw_formation_energy_ev_per_fu": -11.25}

{"formula": "CaAgN2Cl", "functional": "PBE", "state": "optimized geometry", "lattice": [[4.1105, 0.0000, 0.0000], [0.0000, 5.9936, 0.0000], [0.0000, 0.0000, 4.1105]], "species": ["Ca", "N", "N", "Cl", "Ag"], "frac_coords": [[0.0000, 0.5000, 0.0000], [0.0000, 0.0000, 0.5000], [0.5000, 0.0000, 0.0000], [0.5000, 0.5000, 0.5000], [0.0000, 0.0000, 0.0000]], "energy_ev_per_atom": -3.9328, "raw_formation_energy_ev_per_fu": 3.69}